Run w
The following is a DFT calculation (PBE-GGA) of Sr2Zr2Sb after structural relaxation.

The structure in extended XYZ format:
```
10
Lattice="8.371 0.000 0.000 0.000 8.371 0.000 0.000 0.000 4.836" Properties=species:S:1:pos:R:3 pbc="T T T"
Sr 1.346 2.839 0.000
Sr 2.839 7.025 0.000
Sr 5.532 1.346 0.000
Sr 7.025 5.532 0.000
Zr 1.046 5.231 2.418
Zr 3.140 1.046 2.418
Zr 5.231 7.325 2.418
Zr 7.325 3.140 2.418
Sb 0.000 0.000 0.000
Sb 4.186 4.186 0.000
```

Values from the calculation:
Calculated density = 4.70 g cm⁻³
Space group = P4/mbm (127)
V = 338.9 Å³/cell
DOS(E_F) = 9.041 states/eV per cell

Run x
The following is a DFT calculation (PBE-GGA) of Sr2Zr2Sb after structural relaxation.

The structure in extended XYZ format:
```
5
Lattice="-1.984 1.984 10.869 1.984 -1.984 10.869 1.984 1.984 -10.869" Properties=species:S:1:pos:R:3 pbc="T T T"
Sr 0.000 0.000 2.062
Sr 0.000 0.000 19.677
Zr 1.984 0.000 5.435
Zr 0.000 1.984 5.435
Sb 0.000 0.000 10.869
```

Values from the calculation:
Calculated density = 4.65 g cm⁻³
Space group = I4/mmm (139)
V = 171.1 Å³/cell
DOS(E_F) = 4.529 states/eV per cell

Which of them is most stable? Easy: run x.

Run w
The following is a DFT calculation (PBE-GGA) of SrZr2Sb2 after structural relaxation.

The structure in extended XYZ format:
```
5
Lattice="-2.246 2.246 6.948 2.246 -2.246 6.948 2.246 2.246 -6.948" Properties=species:S:1:pos:R:3 pbc="T T T"
Sr 0.000 0.000 0.000
Zr 2.246 0.000 3.474
Zr 0.000 2.246 3.474
Sb 0.000 0.000 5.380
Sb 0.000 0.000 8.516
```

Values from the calculation:
Calculated density = 6.08 g cm⁻³
Space group = I4/mmm (139)
V = 140.2 Å³/cell
DOS(E_F) = 4.267 states/eV per cell

Run x
The following is a DFT calculation (PBE-GGA) of SrZr2Sb2 after structural relaxation.

The structure in extended XYZ format:
```
10
Lattice="8.315 0.000 0.000 0.000 8.315 0.000 0.000 0.000 3.803" Properties=species:S:1:pos:R:3 pbc="T T T"
Sr 0.000 0.000 0.000
Sr 4.157 4.157 0.000
Zr 1.169 2.988 1.901
Zr 2.988 7.146 1.901
Zr 5.326 1.169 1.901
Zr 7.146 5.326 1.901
Sb 1.195 5.353 0.000
Sb 2.962 1.195 0.000
Sb 5.353 7.119 0.000
Sb 7.119 2.962 0.000
```

Values from the calculation:
Calculated density = 6.49 g cm⁻³
Space group = P4/mbm (127)
V = 262.9 Å³/cell
DOS(E_F) = 5.683 states/eV per cell

Which of them is most stable? Easy: run w.